Entry 1:
This record from the Alexandria database describes a relaxed structure of Sr3U3TiAs8. The functional is PBE-GGA.

DFT total energy = -95.8 eV/cell
Calculated formation energy = -0.788 eV per atom
SG = No. 166

Cell: 8.6340 8.6340 8.6340 Å, 56.85 56.85 56.85°
Last column: nearest neighbours and their distance in Å.
Fractional positions:
Sr (0.0000, 0.5000, 0.5000)  6 As 3.12-3.17
Sr (0.5000, 0.0000, 0.5000)  6 As 3.12-3.17
Sr (0.5000, 0.5000, 0.0000)  6 As 3.12-3.17
U (0.0000, 0.0000, 0.5000)  6 As 2.83-2.85
U (0.0000, 0.5000, 0.0000)  6 As 2.83-2.85
U (0.5000, 0.0000, 0.0000)  6 As 2.83-2.85
Ti (0.5000, 0.5000, 0.5000)  6 As 2.70
As (0.2400, 0.2400, 0.2400)  3 U 2.85, 3 Sr 3.12
As (0.2475, 0.7272, 0.7272)  1 Ti 2.70, 2 U 2.83
As (0.2728, 0.2728, 0.7525)  1 Ti 2.70, 2 U 2.83
As (0.2728, 0.7525, 0.2728)  1 Ti 2.70, 2 U 2.83
As (0.7272, 0.2475, 0.7272)  1 Ti 2.70, 2 U 2.83
As (0.7272, 0.7272, 0.2475)  1 Ti 2.70, 2 U 2.83
As (0.7525, 0.2728, 0.2728)  1 Ti 2.70, 2 U 2.83
As (0.7600, 0.7600, 0.7600)  3 U 2.85, 3 Sr 3.12



Entry 2:
This record from the Alexandria database describes a relaxed structure of Sr4U3TiAs8. The functional is PBE-GGA.

DFT total energy = -100.6 eV/cell
Calculated formation energy = -0.935 eV per atom
SG = No. 166

Cell: 8.5807 8.5807 8.5807 Å, 57.97 57.97 57.97°
Last column: nearest neighbours and their distance in Å.
Fractional positions:
Sr (0.0000, 0.0000, 0.0000)  6 As 3.23
Sr (0.0000, 0.5000, 0.5000)  6 As 3.12-3.13
Sr (0.5000, 0.0000, 0.5000)  6 As 3.12-3.13
Sr (0.5000, 0.5000, 0.0000)  6 As 3.12-3.13
U (0.0000, 0.0000, 0.5000)  6 As 2.86
U (0.0000, 0.5000, 0.0000)  6 As 2.86
U (0.5000, 0.0000, 0.0000)  6 As 2.86
Ti (0.5000, 0.5000, 0.5000)  6 As 2.76
As (0.2396, 0.2396, 0.2396)  3 U 2.86, 3 Sr 3.12
As (0.2484, 0.7308, 0.7308)  1 Ti 2.76, 2 U 2.86
As (0.2692, 0.2692, 0.7516)  1 Ti 2.76, 2 U 2.86
As (0.2692, 0.7516, 0.2692)  1 Ti 2.76, 2 U 2.86
As (0.7308, 0.2484, 0.7308)  1 Ti 2.76, 2 U 2.86
As (0.7308, 0.7308, 0.2484)  1 Ti 2.76, 2 U 2.86
As (0.7516, 0.2692, 0.2692)  1 Ti 2.76, 2 U 2.86
As (0.7604, 0.7604, 0.7604)  3 U 2.86, 3 Sr 3.12



Entry 3:
This record from the Alexandria database describes a relaxed structure of SrTlAs. The functional is PBE-GGA.

DFT total energy = -10.3 eV/cell
Calculated formation energy = -0.540 eV per atom
SG = No. 216

Cell: 5.2901 5.2901 5.2901 Å, 60.00 60.00 60.00°
Last column: nearest neighbours and their distance in Å.
Fractional positions:
Sr (0.0000, 0.0000, 0.0000)  4 As 3.24
Tl (0.5000, 0.5000, 0.5000)  4 As 3.24
As (0.2500, 0.2500, 0.2500)  4 Tl 3.24, 4 Sr 3.24



Entry 4:
This record from the Alexandria database describes a relaxed structure of SrTl3As. The functional is PBE-GGA.

DFT total energy = -12.9 eV/cell
Energy above the lowest structure with this stoichiometry = 0.00 eV/f.u.
Calculated formation energy = 0.098 eV per atom
SG = No. 221

Cell: 5.6455 5.6455 5.6455 Å, 90.00 90.00 90.00°
Last column: nearest neighbours and their distance in Å.
Fractional positions:
Sr (0.0000, 0.0000, 0.0000)  12 Tl 3.99
Tl (0.0000, 0.5000, 0.5000)  2 As 2.82
Tl (0.5000, 0.0000, 0.5000)  2 As 2.82
Tl (0.5000, 0.5000, 0.0000)  2 As 2.82
As (0.5000, 0.5000, 0.5000)  6 Tl 2.82



Entry 5:
This record from the Alexandria database describes a relaxed structure of SrTlAs2. The functional is PBE-GGA.

DFT total energy = -14.8 eV/cell
Energy above the lowest structure with this stoichiometry = 0.39 eV/f.u.
Calculated formation energy = -0.367 eV per atom
SG = No. 123

Cell: 4.7509 4.7509 4.5463 Å, 90.00 90.00 90.00°
Last column: nearest neighbours and their distance in Å.
Fractional positions:
Sr (0.0000, 0.0000, 0.0000)  8 As 3.29, 4 Tl 3.36
Tl (0.5000, 0.5000, 0.0000)  8 As 3.29, 4 Sr 3.36
As (0.0000, 0.5000, 0.5000)  4 Tl 3.29, 4 Sr 3.29, 4 As 3.36
As (0.5000, 0.0000, 0.5000)  4 Tl 3.29, 4 Sr 3.29, 4 As 3.36



Entry 6:
This record from the Alexandria database describes a relaxed structure of SrTlAs2. The functional is PBE-GGA.

DFT total energy = -14.2 eV/cell
Energy above the lowest structure with this stoichiometry = 0.99 eV/f.u.
Calculated formation energy = -0.218 eV per atom
SG = No. 166

Cell: 7.7223 7.7223 7.7223 Å, 31.90 31.90 31.90°
Last column: nearest neighbours and their distance in Å.
Fractional positions:
Sr (0.0000, 0.0000, 0.0000)  6 As 3.19
Tl (0.5000, 0.5000, 0.5000)  6 As 2.93
As (0.2401, 0.2401, 0.2401)  3 Tl 2.93, 3 Sr 3.19
As (0.7599, 0.7599, 0.7599)  3 Tl 2.93, 3 Sr 3.19



Entry 7:
This record from the Alexandria database describes a relaxed structure of SrTl2As2. The functional is PBE-GGA.

DFT total energy = -34.7 eV/cell
Energy above the lowest structure with this stoichiometry = 0.24 eV/f.u.
Calculated formation energy = -0.323 eV per atom
SG = No. 127

Cell: 7.8514 7.8514 4.8743 Å, 90.00 90.00 90.00°
Last column: nearest neighbours and their distance in Å.
Fractional positions:
Sr (0.0000, 0.0000, 0.0000)  4 As 3.18
Sr (0.5000, 0.5000, 0.0000)  4 As 3.18
Tl (0.1645, 0.3355, 0.5000)  6 As 3.28-3.49, 1 Tl 3.65
Tl (0.3355, 0.8355, 0.5000)  6 As 3.28-3.49, 1 Tl 3.65
Tl (0.6645, 0.1645, 0.5000)  6 As 3.28-3.49, 1 Tl 3.65
Tl (0.8355, 0.6645, 0.5000)  6 As 3.28-3.49, 1 Tl 3.65
As (0.1107, 0.6107, 0.0000)  1 As 2.46
As (0.3893, 0.1107, 0.0000)  1 As 2.46
As (0.6107, 0.8893, 0.0000)  1 As 2.46
As (0.8893, 0.3893, 0.0000)  1 As 2.46



Entry 8:
This record from the Alexandria database describes a relaxed structure of SrTl2As. The functional is PBE-GGA.

DFT total energy = -12.7 eV/cell
Energy above the lowest structure with this stoichiometry = 0.19 eV/f.u.
Calculated formation energy = -0.409 eV per atom
SG = No. 71

Cell: 6.6354 6.6354 6.6354 Å, 144.82 135.10 58.28°
Last column: nearest neighbours and their distance in Å.
Fractional positions:
Sr (0.0000, 0.0000, 0.0000)  4 As 3.23, 4 Tl 3.53
Tl (0.2876, 0.7876, 0.5000)  2 As 3.18, 4 Tl 3.35, 2 Sr 3.53
Tl (0.7124, 0.2124, 0.5000)  2 As 3.18, 4 Tl 3.35, 2 Sr 3.53
As (0.5000, 0.5000, 0.0000)  4 Tl 3.18, 4 Sr 3.23



Entry 9:
This record from the Alexandria database describes a relaxed structure of SrTl2As. The functional is PBE-GGA.

DFT total energy = -12.0 eV/cell
Energy above the lowest structure with this stoichiometry = 0.93 eV/f.u.
Calculated formation energy = -0.225 eV per atom
SG = No. 166

Cell: 6.2142 6.2142 6.2142 Å, 48.15 48.15 48.15°
Last column: nearest neighbours and their distance in Å.
Fractional positions:
Sr (0.0000, 0.0000, 0.0000)  8 Tl 3.40-3.75
Tl (0.2279, 0.2279, 0.2279)  3 As 3.10, 3 Sr 3.40
Tl (0.7721, 0.7721, 0.7721)  3 As 3.10, 3 Sr 3.40
As (0.5000, 0.5000, 0.5000)  6 Tl 3.10



Entry 10:
This record from the Alexandria database describes a relaxed structure of SrTl2As. The functional is PBE-GGA.

DFT total energy = -11.8 eV/cell
Energy above the lowest structure with this stoichiometry = 1.05 eV/f.u.
Calculated formation energy = -0.194 eV per atom
SG = No. 123

Cell: 4.0385 4.0385 7.0723 Å, 90.00 90.00 90.00°
Last column: nearest neighbours and their distance in Å.
Fractional positions:
Sr (0.0000, 0.0000, 0.0000)  8 Tl 3.51, 2 As 3.54
Tl (0.5000, 0.5000, 0.2886)  1 Tl 2.99, 4 As 3.22
Tl (0.5000, 0.5000, 0.7114)  1 Tl 2.99, 4 As 3.22
As (0.0000, 0.0000, 0.5000)  8 Tl 3.22, 2 Sr 3.54



Entry 11:
This record from the Alexandria database describes a relaxed structure of Sr2TlAs. The functional is PBE-GGA.

DFT total energy = -12.1 eV/cell
Energy above the lowest structure with this stoichiometry = 1.13 eV/f.u.
Calculated formation energy = -0.425 eV per atom
SG = No. 99

Cell: 4.6801 4.6801 6.5484 Å, 90.00 90.00 90.00°
Last column: nearest neighbours and their distance in Å.
Fractional positions:
Sr (0.0000, 0.0000, 0.0000)  2 As 3.27-3.28, 4 Tl 3.31
Sr (0.5000, 0.5000, 0.4987)  2 Tl 3.27-3.28, 4 As 3.31
Tl (0.5000, 0.5000, 0.9986)  6 Sr 3.27-3.31
As (0.0000, 0.0000, 0.4999)  6 Sr 3.27-3.31



Entry 12:
This record from the Alexandria database describes a relaxed structure of SrTl2As. The functional is PBE-GGA.

DFT total energy = -11.9 eV/cell
Energy above the lowest structure with this stoichiometry = 1.04 eV/f.u.
Calculated formation energy = -0.198 eV per atom
SG = No. 225

Cell: 5.4931 5.4931 5.4931 Å, 60.00 60.00 60.00°
Last column: nearest neighbours and their distance in Å.
Fractional positions:
Sr (0.0000, 0.0000, 0.0000)  8 Tl 3.36
Tl (0.2500, 0.2500, 0.2500)  4 As 3.36, 4 Sr 3.36
Tl (0.7500, 0.7500, 0.7500)  4 As 3.36, 4 Sr 3.36
As (0.5000, 0.5000, 0.5000)  8 Tl 3.36



- The highest DFT total energy belongs to which entry?
  SrTlAs



- Number 2 is which compound?
  Sr4U3TiAs8



- What is the formula in the tenth record?
  SrTl2As